This record from Alexandria describes a relaxed structure of Al2ZnF8. The functional is GGA-PBE.

abc: 7.459 6.874 5.067
angles: 90.00 101.97 90.00
Space group C2/m (No. 12)
Asymmetric unit:
Al1 0.196 0.000 0.484 x4
Zn1 0.000 0.500 0.000 x2
F1 0.037 0.000 0.726 x4
F2 0.155 0.325 0.309 x8
F3 0.195 0.500 0.789 x4

Properties
DOS at the Fermi energy   0.00 states/eV/cell
Magnetization   0.0 μB per formula unit
Raw formation energy   -292.9 kJ/mol of atoms

This record from Alexandria describes a relaxed structure of Al2ZnF. The functional is GGA-PBE.

abc: 6.248 6.248 6.248
angles: 90.00 90.00 90.00
Space group Fm-3m (No. 225)
Asymmetric unit:
Al1 0.250 0.250 0.250 x8
Zn1 0.000 0.000 0.000 x4
F1 0.000 0.000 0.500 x4

Properties
DOS at the Fermi energy   11.34 states/eV/cell
Magnetization   0.0 μB per formula unit
Raw formation energy   -41.0 kJ/mol of atoms

Number 1: raw total energy -114.256 eV for the cell shown. Number 2: raw total energy -49.318 eV for the cell shown.